Here is a relaxed Tb6PrDy2Ho crystal from Alexandria. Energies are from PBE-GGA.

a b c (Å): 9.5698 8.8083 8.8083
angles (deg): 117.69 93.64 93.64
Fractional coordinates of all 20 atoms:
1 Tb 0.0565 0.1221 0.7500
2 Tb 0.4435 0.2500 0.8779
3 Tb 0.9435 0.8779 0.2500
4 Tb 0.5565 0.7500 0.1221
5 Tb 0.3168 0.9836 0.4352
6 Tb 0.1832 0.5648 0.0164
7 Tb 0.6832 0.0164 0.5648
8 Tb 0.8168 0.4352 0.9836
9 Tb 0.1188 0.7077 0.4905
10 Tb 0.3812 0.5095 0.2923
11 Tb 0.8812 0.2923 0.5095
12 Tb 0.6188 0.4905 0.7077
13 Pr 0.2500 0.9745 0.0255
14 Pr 0.7500 0.0255 0.9745
15 Dy 0.4537 0.8002 0.6962
16 Dy 0.0463 0.3038 0.1998
17 Dy 0.5463 0.1998 0.3038
18 Dy 0.9537 0.6962 0.8002
19 Ho 0.2500 0.4095 0.5905
20 Ho 0.7500 0.5905 0.4095

Summary:
D(E_F) = 28.66 states/eV/cell
final energy = -4.5156 eV per atom
symmetry = No. 15
energy relative to the elements = 1.19 eV/f.u.